# 1
The following is a DFT calculation (PBE) of crystalline Sr2Rh2O at its relaxed geometry.

a b c (Å): 3.542 3.542 16.534
angles (deg): 90.00 90.00 90.00
Space group I4/mmm (No. 139)
Symmetry-distinct sites (fractional):
Sr: 0.000 0.000 0.092 [4 per cell]
Rh: 0.000 0.500 0.250 [4 per cell]
O: 0.000 0.000 0.500 [2 per cell]

Summary:
Its energy relative to the lowest polymorph listed for this composition is 0 meV per atom. The calculation puts the theoretical density at 6.4 g cm⁻³. The calculation puts the total energy at -5.3659 eV per atom. The energy relative to the elements, uncorrected is -761 meV/atom.


# 2
The following is a DFT calculation (PBE) of crystalline SrRhO2 at its relaxed geometry.

a b c (Å): 3.6736 3.6736 18.6683
angles (deg): 90.00 90.00 120.00
Space group R-3m (No. 166, hexagonal axes)
Symmetry-distinct sites (fractional):
Sr: 0.0000 0.0000 0.0000 [3 per cell]
Rh: 0.0000 0.0000 0.5000 [3 per cell]
O: 0.0000 0.0000 0.3999 [6 per cell]

Summary:
The calculation puts the theoretical density at 5.1 g cm⁻³. The calculation puts the total energy at -6.1376 eV per atom. The energy relative to the elements, uncorrected is -1400 meV/atom.


# 3
The following is a DFT calculation (PBE) of crystalline Sr3Rh2O7 at its relaxed geometry.

a b c (Å): 3.992 3.992 20.585
angles (deg): 90.00 90.00 90.00
Space group I4/mmm (No. 139)
Symmetry-distinct sites (fractional):
Sr: 0.000 0.000 0.000 [2 per cell]
Sr: 0.000 0.000 0.184 [4 per cell]
Rh: 0.000 0.000 0.401 [4 per cell]
O: 0.000 0.000 0.303 [4 per cell]
O: 0.000 0.000 0.500 [2 per cell]
O: 0.000 0.500 0.097 [8 per cell]

Summary:
Its energy relative to the lowest polymorph listed for this composition is 43 meV per atom. The calculation puts the theoretical density at 5.9 g cm⁻³. The calculation puts the total energy at -6.3029 eV per atom. The energy relative to the elements, uncorrected is -1765 meV/atom.


# 4
The following is a DFT calculation (PBE) of crystalline Sr2Rh2O at its relaxed geometry.

a b c (Å): 6.764 6.764 5.089
angles (deg): 90.00 90.00 90.00
Space group P4/mbm (No. 127)
Symmetry-distinct sites (fractional):
Sr: 0.189 0.311 0.000 [4 per cell]
Rh: 0.126 0.626 0.500 [4 per cell]
O: 0.000 0.000 0.000 [2 per cell]

Summary:
Its energy relative to the lowest polymorph listed for this composition is 478 meV per atom. The calculation puts the theoretical density at 5.7 g cm⁻³. The calculation puts the total energy at -4.8877 eV per atom. The energy relative to the elements, uncorrected is -283 meV/atom.


Which value of energy relative to the elements, uncorrected does entry 2 give? -1400 meV/atom


Please write out number 4 again, unchanged.
The following is a DFT calculation (PBE) of crystalline Sr2Rh2O at its relaxed geometry.

a b c (Å): 6.764 6.764 5.089
angles (deg): 90.00 90.00 90.00
Space group P4/mbm (No. 127)
Symmetry-distinct sites (fractional):
Sr: 0.189 0.311 0.000 [4 per cell]
Rh: 0.126 0.626 0.500 [4 per cell]
O: 0.000 0.000 0.000 [2 per cell]

Summary:
Its energy relative to the lowest polymorph listed for this composition is 478 meV per atom. The calculation puts the theoretical density at 5.7 g cm⁻³. The calculation puts the total energy at -4.8877 eV per atom. The energy relative to the elements, uncorrected is -283 meV/atom.


The highest energy relative to the elements, uncorrected belongs to which entry? number 4


Among the records above, which one has the highest energy relative to the elements, uncorrected? number 4